Entry 1:
# Ti3BeZn2 | Alexandria | PBE-GGA | relaxed
# Crystal system: tetragonal
data_Ti3BeZn2
_chemical_formula_sum 'Ti3 Be1 Zn2'
_cell_length_a 3.041
_cell_length_b 3.041
_cell_length_c 9.462
_cell_angle_alpha 90.00
_cell_angle_beta 90.00
_cell_angle_gamma 90.00
_symmetry_space_group_name_H-M 'P 4/m m m'
_symmetry_Int_Tables_number 123
_symmetry_space_group_name_Hall '-P 4 2'
loop_
_atom_site_label
_atom_site_type_symbol
_atom_site_fract_x
_atom_site_fract_y
_atom_site_fract_z
Ti1 Ti 0.000 0.000 0.000
Ti2 Ti 0.000 0.000 0.349
Be1 Be 0.500 0.500 0.500
Zn1 Zn 0.500 0.500 0.176

---

Entry 2:
# CePmPt6 | Alexandria | PBE-GGA | relaxed
# Crystal system: tetragonal
data_CePmPt6
_chemical_formula_sum 'Ce1 Pm1 Pt6'
_cell_length_a 4.178
_cell_length_b 4.178
_cell_length_c 8.339
_cell_angle_alpha 90.00
_cell_angle_beta 90.00
_cell_angle_gamma 90.00
_symmetry_space_group_name_H-M 'P 4/m m m'
_symmetry_Int_Tables_number 123
_symmetry_space_group_name_Hall '-P 4 2'
loop_
_atom_site_label
_atom_site_type_symbol
_atom_site_fract_x
_atom_site_fract_y
_atom_site_fract_z
Ce1 Ce 0.000 0.000 0.000
Pm1 Pm 0.000 0.000 0.500
Pt1 Pt 0.000 0.500 0.244
Pt2 Pt 0.500 0.500 0.000
Pt3 Pt 0.500 0.500 0.500

---

Theoretical density / g/cm³: 5.4; 16.6
Electronic total energy / eV per cell: -30.90; -54.67